Entry 1:
Density functional theory data (PBE) for a relaxed Tl8Bi2Au crystal.

Summary:
energy of formation	41	meV/atom
space-group type	C2/m (12)
total DFT energy (no corrections)	-2.68	eV/atom
relative energy among the computed polymorphs	43	meV per atom
mass density	10.10	g/cm³

Cell: 7.965 6.956 6.956 Å, 87.32 78.50 78.50°
Fractional positions:
Tl 0.313 0.406 0.915
Tl 0.997 0.709 0.709
Bi 0.632 0.109 0.109
Tl 0.313 0.915 0.406
Tl 0.003 0.291 0.291
Tl 0.687 0.085 0.594
Tl 0.687 0.594 0.085
Au 0.000 0.000 0.000
Bi 0.368 0.891 0.891
Tl 0.655 0.583 0.583
Tl 0.345 0.417 0.417


Entry 2:
Density functional theory data (PBE) for a relaxed TaWS2Cl crystal.

Summary:
space-group type	P4/mmm (123)
total DFT energy (no corrections)	-6.10	eV/atom
ΔE_f (raw)	85	kJ per mole of atoms
relative energy among the computed polymorphs	138	meV per atom
mass density	7.44	g/cm³

Cell: 4.681 4.681 4.734 Å, 90.00 90.00 90.00°
Fractional positions:
W 0.000 0.000 0.000
S 0.500 0.000 0.000
Cl 0.000 0.000 0.500
S 0.000 0.500 0.000
Ta 0.500 0.500 0.500


Entry 3:
Density functional theory data (PBE) for a relaxed Bi3AuC crystal.

Summary:
energy of formation	936	meV/atom
space-group type	Pm-3m (221)
total DFT energy (no corrections)	-3.89	eV/atom
relative energy among the computed polymorphs	0	meV per atom
mass density	11.38	g/cm³

Cell: 4.960 4.960 4.960 Å, 90.00 90.00 90.00°
Fractional positions:
Au 0.500 0.500 0.500
Bi 0.000 0.500 0.000
Bi 0.000 0.000 0.500
Bi 0.500 0.000 0.000
C 0.000 0.000 0.000


Entry 4:
Density functional theory data (PBE) for a relaxed Li2BeSb crystal.

Summary:
space-group type	R-3m (166)
total DFT energy (no corrections)	-2.63	eV/atom
ΔE_f (raw)	28	kJ per mole of atoms
relative energy among the computed polymorphs	417	meV per atom
mass density	3.18	g/cm³

Cell: 9.047 9.047 9.047 Å, 19.98 19.98 19.98°
Fractional positions:
Li 0.498 0.498 0.498
Li 0.002 0.002 0.002
Be 0.750 0.750 0.750
Sb 0.250 0.250 0.250